DFT (PBE) results for an optimized crystal structure of Sr2YN.

The structure in extended XYZ format:
```
8
Lattice="-5.279 5.279 2.299 5.279 -5.279 2.299 5.279 5.279 -2.299" Properties=species:S:1:pos:R:3 pbc="T T T"
Sr 0.911 2.640 0.575
Sr -2.640 4.369 1.724
Sr -0.911 7.919 0.575
Sr 2.640 6.190 1.724
Y 5.279 0.000 1.149
Y 0.000 0.000 2.299
N 0.000 0.000 0.000
N 0.000 5.279 1.149
```

Uncorrected formation energy ... -0.254 eV per atom


DFT (PBE) results for an optimized crystal structure of SrYN2.

The structure in extended XYZ format:
```
8
Lattice="-2.817 2.817 5.343 2.817 -2.817 5.343 2.817 2.817 -5.343" Properties=species:S:1:pos:R:3 pbc="T T T"
Sr 0.000 0.000 0.000
Sr 0.000 2.817 2.671
Y 2.817 0.000 2.671
Y 0.000 0.000 5.343
N 1.408 -1.174 4.007
N 1.643 1.408 1.336
N 1.408 3.991 -1.336
N 1.174 1.408 6.678
```

Uncorrected formation energy ... -0.681 eV per atom


DFT (PBE) results for an optimized crystal structure of SrZn2N.

The structure in extended XYZ format:
```
8
Lattice="0.000 4.545 4.545 4.545 0.000 4.545 4.545 4.545 0.000" Properties=species:S:1:pos:R:3 pbc="T T T"
Sr 1.136 1.136 1.136
Sr 7.953 7.953 7.953
Zn 4.545 2.272 2.272
Zn 2.272 4.545 2.272
Zn 2.272 2.272 4.545
Zn 4.545 4.545 4.545
N 3.409 3.409 3.409
N 5.681 5.681 5.681
```

Uncorrected formation energy ... 0.228 eV per atom